# 1
DFT (PBE-GGA) results for a relaxed HfZr3I crystal.

Calculated values
SG   Pm-3m (221)
VASP energy   -6.3638 eV per atom
Energy relative to the elements, uncorrected   24.58 kcal/mol of atoms
ρ   6.53 g/cm³
Energy above the most stable polymorph in this dataset   186 meV per atom

Unit cell a=5.2802 b=5.2802 c=5.2802 alpha=90.00 beta=90.00 gamma=90.00
Last column: nearest neighbours and their distance in Å.
Sites, in units of the cell vectors:
Hf  0.0000  0.0000  0.0000  6 Zr 2.64
Zr  0.0000  0.5000  0.0000  2 Hf 2.64
Zr  0.5000  0.0000  0.0000  2 Hf 2.64
Zr  0.0000  0.0000  0.5000  2 Hf 2.64
I  0.5000  0.5000  0.5000  12 Zr 3.73

=====

# 2
DFT (PBE-GGA) results for a relaxed CaLaZr2 crystal.

Calculated values
SG   R-3m (166)
VASP energy   -5.6920 eV per atom
ρ   5.24 g/cm³
Energy above the most stable polymorph in this dataset   148 meV per atom
Formation energy from the elements   0.31 eV per atom

Unit cell a=11.4216 b=11.4216 c=11.4216 alpha=17.27 beta=17.27 gamma=17.27
Last column: nearest neighbours and their distance in Å.
Sites, in units of the cell vectors:
Zr  0.4965  0.4965  0.4965  3 La 3.34, 6 Zr 3.43, 3 Ca 3.54
Zr  0.0035  0.0035  0.0035  3 La 3.34, 6 Zr 3.43, 3 Ca 3.54
La  0.7500  0.7500  0.7500  6 Zr 3.34, 6 La 3.43
Ca  0.2500  0.2500  0.2500  6 Ca 3.43, 6 Zr 3.54